(1)
Density functional theory data (GGA-PBEsol) for crystalline ZrTa2C at its relaxed geometry.

a b c (Å): 3.0597 4.7765 4.9657
angles (deg): 118.75 90.00 90.00
Element x y z (fractional)
Ta 0.0000 0.8291 0.6581
C 0.5000 0.0000 0.0000
Zr 0.5000 0.5000 0.0000
Ta 0.0000 0.1709 0.3419

Properties
Its symmetry is Cmmm, No. 65. Its total magnetic moment is 0.000 Bohr magnetons per cell. The value obtained for the energy of formation from the pure elements is -0.44 eV/atom.

(2)
Density functional theory data (GGA-PBEsol) for crystalline Y2Be2P at its relaxed geometry.

a b c (Å): 4.1790 6.3732 6.3732
angles (deg): 90.00 90.00 90.00
Element x y z (fractional)
Y 0.5000 0.1741 0.6741
Be 0.0000 0.1221 0.3779
Be 0.0000 0.8779 0.6221
P 0.0000 0.5000 0.5000
P 0.0000 0.0000 0.0000
Be 0.0000 0.3779 0.8779
Y 0.5000 0.6741 0.8259
Be 0.0000 0.6221 0.1221
Y 0.5000 0.8259 0.3259
Y 0.5000 0.3259 0.1741

Properties
Its symmetry is P4/mbm, No. 127. Its total magnetic moment is 0.000 Bohr magnetons per cell. The value obtained for the energy of formation from the pure elements is -0.31 eV/atom.

(3)
Density functional theory data (GGA-PBEsol) for crystalline CrMo2 at its relaxed geometry.

a b c (Å): 3.0400 4.2983 6.5957
angles (deg): 90.00 103.32 90.00
Element x y z (fractional)
Mo 0.4208 0.2500 0.8417
Mo 0.2514 0.7500 0.5029
Mo 0.5792 0.7500 0.1583
Mo 0.7486 0.2500 0.4971
Cr 0.9188 0.7500 0.8375
Cr 0.0812 0.2500 0.1625

Properties
Its symmetry is Cmcm, No. 63. The value obtained for the energy above the lowest structure with this stoichiometry is 0 meV per atom. Its total magnetic moment is 0.000 Bohr magnetons per cell. The value obtained for the energy of formation from the pure elements is 0.07 eV/atom.